## i
A plane-wave DFT calculation with GGA-PBE was carried out for an optimized crystal structure of La7NdEr3.

Computed properties:
Symmetry: P3m1, No. 156
DOS(E_F): 15.74 states/eV per cell

Lattice parameters (Å, degrees): 7.306 7.306 8.629 90.00 90.00 120.00
Element x y z (fractional)
La  0.000  0.000  0.000
La  0.006  0.503  0.034
La  0.169  0.339  0.665
La  0.169  0.831  0.665
La  0.497  0.503  0.034
La  0.497  0.994  0.034
La  0.661  0.831  0.665
Nd  0.667  0.333  0.696
Er  0.334  0.167  0.350
Er  0.833  0.167  0.350
Er  0.833  0.666  0.350


## ii
A plane-wave DFT calculation with GGA-PBE was carried out for an optimized crystal structure of La7NdEr3.

Computed properties:
Symmetry: C2/m, No. 12
DOS(E_F): 16.49 states/eV per cell

Lattice parameters (Å, degrees): 7.858 7.858 6.496 94.77 94.77 82.27
Element x y z (fractional)
La  0.000  0.000  0.000
La  0.075  0.436  0.264
La  0.265  0.265  0.788
La  0.436  0.075  0.264
La  0.564  0.925  0.736
La  0.735  0.735  0.212
La  0.925  0.564  0.736
Nd  0.000  0.000  0.500
Er  0.334  0.666  0.000
Er  0.500  0.500  0.500
Er  0.666  0.334  0.000


Short version: i is the most stable of them.